No. 1
# KMg2Cl (PBE, relaxed)
data_KMg2Cl
_space_group_name_H-M_alt 'P 1'
_space_group_IT_number 1
_cell_length_a 3.7301
_cell_length_b 3.5064
_cell_length_c 9.0729
_cell_angle_alpha 90.00
_cell_angle_beta 101.82
_cell_angle_gamma 90.00
loop_
_space_group_symop_operation_xyz
'x,y,z'
loop_
_atom_site_label
_atom_site_type_symbol
_atom_site_fract_x
_atom_site_fract_y
_atom_site_fract_z
K1 K 0.0000 0.0000 0.0000
Mg1 Mg 0.3212 0.5000 0.6556
Mg2 Mg 0.7168 0.0000 0.4419
Cl1 Cl 0.6026 0.5000 0.2057
# Final energy ... -0.0792 Ha/atom
# Magnetization ... 0.0 μB/cell
# Energy above the most stable polymorph in this dataset ... 0 meV per atom
# Density ... 1.76 Mg/m³
# Formation energy from raw total energies ... -0.62 eV per atom

No. 2
# Y2NiTe (PBE, relaxed)
data_Y2NiTe
_space_group_name_H-M_alt 'P 1'
_space_group_IT_number 1
_cell_length_a 4.1219
_cell_length_b 4.1428
_cell_length_c 11.1766
_cell_angle_alpha 90.00
_cell_angle_beta 90.00
_cell_angle_gamma 90.00
loop_
_space_group_symop_operation_xyz
'x,y,z'
loop_
_atom_site_label
_atom_site_type_symbol
_atom_site_fract_x
_atom_site_fract_y
_atom_site_fract_z
Y1 Y 0.0000 0.0000 0.0000
Y2 Y 0.0000 0.5000 0.5000
Y3 Y 0.5000 0.0000 0.2994
Y4 Y 0.5000 0.5000 0.7994
Ni1 Ni 0.0000 0.0000 0.7472
Ni2 Ni 0.0000 0.5000 0.2472
Te1 Te 0.5000 0.0000 0.5868
Te2 Te 0.5000 0.5000 0.0868
# Final energy ... -0.2291 Ha/atom
# Magnetization ... 0.0 μB/cell
# Density ... 6.34 Mg/m³
# Formation energy from raw total energies ... -0.77 eV per atom

No. 3
# Th4As3S (PBE, relaxed)
data_Th4As3S
_space_group_name_H-M_alt 'P 1'
_space_group_IT_number 1
_cell_length_a 7.2797
_cell_length_b 8.3576
_cell_length_c 7.3122
_cell_angle_alpha 90.00
_cell_angle_beta 109.17
_cell_angle_gamma 90.00
loop_
_space_group_symop_operation_xyz
'x,y,z'
loop_
_atom_site_label
_atom_site_type_symbol
_atom_site_fract_x
_atom_site_fract_y
_atom_site_fract_z
Th1 Th 0.2416 0.1207 0.4994
Th2 Th 0.2416 0.8793 0.9994
Th3 Th 0.2464 0.3706 0.9962
Th4 Th 0.2464 0.6294 0.4962
Th5 Th 0.7536 0.3706 0.5038
Th6 Th 0.7536 0.6294 0.0038
Th7 Th 0.7584 0.1207 0.0006
Th8 Th 0.7584 0.8793 0.5006
As1 As 0.0000 0.3755 0.2500
As2 As 0.0000 0.6245 0.7500
As3 As 0.5000 0.1245 0.2500
As4 As 0.5000 0.3742 0.7500
As5 As 0.5000 0.6258 0.2500
As6 As 0.5000 0.8755 0.7500
S1 S 0.0000 0.1255 0.7500
S2 S 0.0000 0.8745 0.2500
# Final energy ... -0.2745 Ha/atom
# Magnetization ... 0.0 μB/cell
# Density ... 9.37 Mg/m³
# Formation energy from raw total energies ... -1.50 eV per atom

No. 4
# DySi2TcMo (PBE, relaxed)
data_DySi2TcMo
_space_group_name_H-M_alt 'P 1'
_space_group_IT_number 1
_cell_length_a 4.0204
_cell_length_b 4.0204
_cell_length_c 10.7629
_cell_angle_alpha 90.00
_cell_angle_beta 90.00
_cell_angle_gamma 90.00
loop_
_space_group_symop_operation_xyz
'x,y,z'
loop_
_atom_site_label
_atom_site_type_symbol
_atom_site_fract_x
_atom_site_fract_y
_atom_site_fract_z
Dy1 Dy 0.0000 0.0000 0.0000
Dy2 Dy 0.5000 0.5000 0.5000
Si1 Si 0.0000 0.0000 0.3874
Si2 Si 0.0000 0.0000 0.6126
Si3 Si 0.5000 0.5000 0.1126
Si4 Si 0.5000 0.5000 0.8874
Tc1 Tc 0.0000 0.5000 0.2500
Tc2 Tc 0.5000 0.0000 0.7500
Mo1 Mo 0.0000 0.5000 0.7500
Mo2 Mo 0.5000 0.0000 0.2500
# Final energy ... -0.2893 Ha/atom
# Magnetization ... 0.3 μB/cell
# Density ... 7.88 Mg/m³
# Formation energy from raw total energies ... -0.54 eV per atom

No. 5
# MnTl2P (PBE, relaxed)
data_MnTl2P
_space_group_name_H-M_alt 'P 1'
_space_group_IT_number 1
_cell_length_a 4.2695
_cell_length_b 4.3000
_cell_length_c 4.9944
_cell_angle_alpha 90.00
_cell_angle_beta 90.00
_cell_angle_gamma 90.00
loop_
_space_group_symop_operation_xyz
'x,y,z'
loop_
_atom_site_label
_atom_site_type_symbol
_atom_site_fract_x
_atom_site_fract_y
_atom_site_fract_z
Mn1 Mn 0.0000 0.0000 0.0000
Tl1 Tl 0.0000 0.5000 0.5000
Tl2 Tl 0.5000 0.0000 0.5000
P1 P 0.5000 0.5000 0.0000
# Final energy ... -0.1587 Ha/atom
# Formation energy ... 0.5082 eV/atom
# Magnetization ... 4.5 μB/cell
# Energy above the most stable polymorph in this dataset ... 454 meV per atom
# Density ... 8.96 Mg/m³

No. 6
# BaMg2Si2 (PBE, relaxed)
data_BaMg2Si2
_space_group_name_H-M_alt 'P 1'
_space_group_IT_number 1
_cell_length_a 6.6044
_cell_length_b 6.6038
_cell_length_c 6.4276
_cell_angle_alpha 90.00
_cell_angle_beta 120.87
_cell_angle_gamma 90.00
loop_
_space_group_symop_operation_xyz
'x,y,z'
loop_
_atom_site_label
_atom_site_type_symbol
_atom_site_fract_x
_atom_site_fract_y
_atom_site_fract_z
Ba1 Ba 0.0000 0.0000 0.0000
Ba2 Ba 0.5000 0.5000 0.0000
Mg1 Mg 0.0000 0.2504 0.5000
Mg2 Mg 0.0000 0.7496 0.5000
Mg3 Mg 0.5000 0.2496 0.5000
Mg4 Mg 0.5000 0.7504 0.5000
Si1 Si 0.1129 0.5000 0.2237
Si2 Si 0.3871 0.0000 0.7763
Si3 Si 0.6129 0.0000 0.2237
Si4 Si 0.8871 0.5000 0.7763
# Final energy ... -0.1298 Ha/atom
# Magnetization ... 0.0 μB/cell
# Density ... 3.34 Mg/m³
# Formation energy from raw total energies ... -0.34 eV per atom

No. 7
# BaTbZn2Si2 (PBE, relaxed)
data_BaTbZn2Si2
_space_group_name_H-M_alt 'P 1'
_space_group_IT_number 1
_cell_length_a 4.2326
_cell_length_b 4.2326
_cell_length_c 9.0058
_cell_angle_alpha 90.00
_cell_angle_beta 90.00
_cell_angle_gamma 120.00
loop_
_space_group_symop_operation_xyz
'x,y,z'
loop_
_atom_site_label
_atom_site_type_symbol
_atom_site_fract_x
_atom_site_fract_y
_atom_site_fract_z
Ba1 Ba 0.0000 0.0000 0.0000
Tb1 Tb 0.0000 0.0000 0.5000
Zn1 Zn 0.3333 0.6667 0.7138
Zn2 Zn 0.6667 0.3333 0.2862
Si1 Si 0.3333 0.6667 0.2867
Si2 Si 0.6667 0.3333 0.7133
# Final energy ... -0.1404 Ha/atom
# Magnetization ... 0.0 μB/cell
# Density ... 5.74 Mg/m³
# Formation energy from raw total energies ... -0.50 eV per atom

No. 8
# Er3ScPb12 (PBE, relaxed)
data_Er3ScPb12
_space_group_name_H-M_alt 'P 1'
_space_group_IT_number 1
_cell_length_a 4.8904
_cell_length_b 4.8904
_cell_length_c 19.1229
_cell_angle_alpha 90.00
_cell_angle_beta 90.00
_cell_angle_gamma 90.00
loop_
_space_group_symop_operation_xyz
'x,y,z'
loop_
_atom_site_label
_atom_site_type_symbol
_atom_site_fract_x
_atom_site_fract_y
_atom_site_fract_z
Er1 Er 0.0000 0.0000 0.0000
Er2 Er 0.0000 0.0000 0.2516
Er3 Er 0.0000 0.0000 0.7484
Sc1 Sc 0.0000 0.0000 0.5000
Pb1 Pb 0.0000 0.5000 0.1260
Pb2 Pb 0.0000 0.5000 0.3785
Pb3 Pb 0.0000 0.5000 0.6215
Pb4 Pb 0.0000 0.5000 0.8740
Pb5 Pb 0.5000 0.0000 0.1260
Pb6 Pb 0.5000 0.0000 0.3785
Pb7 Pb 0.5000 0.0000 0.6215
Pb8 Pb 0.5000 0.0000 0.8740
Pb9 Pb 0.5000 0.5000 0.0000
Pb10 Pb 0.5000 0.5000 0.2521
Pb11 Pb 0.5000 0.5000 0.5000
Pb12 Pb 0.5000 0.5000 0.7479
# Final energy ... -0.1561 Ha/atom
# Formation energy ... -0.2148 eV/atom
# Magnetization ... 0.0 μB/cell
# Density ... 11.01 Mg/m³

No. 9
# AlAg2Os (PBE, relaxed)
data_AlAg2Os
_space_group_name_H-M_alt 'P 1'
_space_group_IT_number 1
_cell_length_a 5.4350
_cell_length_b 8.6847
_cell_length_c 2.7238
_cell_angle_alpha 90.00
_cell_angle_beta 90.00
_cell_angle_gamma 90.00
loop_
_space_group_symop_operation_xyz
'x,y,z'
loop_
_atom_site_label
_atom_site_type_symbol
_atom_site_fract_x
_atom_site_fract_y
_atom_site_fract_z
Al1 Al 0.0000 0.0000 0.0000
Al2 Al 0.5000 0.5000 0.0000
Ag1 Ag 0.2500 0.2500 0.5000
Ag2 Ag 0.2500 0.7500 0.5000
Ag3 Ag 0.7500 0.2500 0.5000
Ag4 Ag 0.7500 0.7500 0.5000
Os1 Os 0.0000 0.5000 0.0000
Os2 Os 0.5000 0.0000 0.0000
# Final energy ... -0.1767 Ha/atom
# Formation energy ... 0.3593 eV/atom
# Magnetization ... 0.0 μB/cell
# Density ... 11.18 Mg/m³

No. 10
# RbCd2N2 (PBE, relaxed)
data_RbCd2N2
_space_group_name_H-M_alt 'P 1'
_space_group_IT_number 1
_cell_length_a 4.4589
_cell_length_b 4.4589
_cell_length_c 11.4140
_cell_angle_alpha 90.00
_cell_angle_beta 90.00
_cell_angle_gamma 90.00
loop_
_space_group_symop_operation_xyz
'x,y,z'
loop_
_atom_site_label
_atom_site_type_symbol
_atom_site_fract_x
_atom_site_fract_y
_atom_site_fract_z
Rb1 Rb 0.0000 0.0000 0.0000
Rb2 Rb 0.5000 0.5000 0.5000
Cd1 Cd 0.0000 0.0000 0.2886
Cd2 Cd 0.0000 0.0000 0.7114
Cd3 Cd 0.5000 0.5000 0.2114
Cd4 Cd 0.5000 0.5000 0.7886
N1 N 0.0000 0.5000 0.2500
N2 N 0.0000 0.5000 0.7500
N3 N 0.5000 0.0000 0.2500
N4 N 0.5000 0.0000 0.7500
# Final energy ... -0.1185 Ha/atom
# Magnetization ... 0.0 μB/cell
# Density ... 4.95 Mg/m³
# Formation energy from raw total energies ... 0.67 eV per atom

No. 11
# KNa4In (PBE, relaxed)
data_KNa4In
_space_group_name_H-M_alt 'P 1'
_space_group_IT_number 1
_cell_length_a 6.7246
_cell_length_b 6.7246
_cell_length_c 6.7246
_cell_angle_alpha 60.00
_cell_angle_beta 60.00
_cell_angle_gamma 60.00
loop_
_space_group_symop_operation_xyz
'x,y,z'
loop_
_atom_site_label
_atom_site_type_symbol
_atom_site_fract_x
_atom_site_fract_y
_atom_site_fract_z
K1 K 0.0000 0.0000 0.0000
Na1 Na 0.1315 0.6228 0.6228
Na2 Na 0.6228 0.1315 0.6228
Na3 Na 0.6228 0.6228 0.1315
Na4 Na 0.6228 0.6228 0.6228
In1 In 0.2500 0.2500 0.2500
# Final energy ... -0.0539 Ha/atom
# Formation energy ... 0.0530 eV/atom
# Magnetization ... 0.0 μB/cell
# Energy above the most stable polymorph in this dataset ... 65 meV per atom
# Density ... 1.90 Mg/m³

No. 12
# RbThSe3 (PBE, relaxed)
data_RbThSe3
_space_group_name_H-M_alt 'P 1'
_space_group_IT_number 1
_cell_length_a 8.6431
_cell_length_b 8.6431
_cell_length_c 8.1050
_cell_angle_alpha 104.08
_cell_angle_beta 104.08
_cell_angle_gamma 39.95
loop_
_space_group_symop_operation_xyz
'x,y,z'
loop_
_atom_site_label
_atom_site_type_symbol
_atom_site_fract_x
_atom_site_fract_y
_atom_site_fract_z
Rb1 Rb 0.1321 0.1321 0.3716
Rb2 Rb 0.8679 0.8679 0.6284
Th1 Th 0.3532 0.3532 0.1052
Th2 Th 0.6468 0.6468 0.8948
Se1 Se 0.1699 0.1699 0.9394
Se2 Se 0.3573 0.3573 0.4378
Se3 Se 0.4595 0.4595 0.8426
Se4 Se 0.5405 0.5405 0.1574
Se5 Se 0.6427 0.6427 0.5622
Se6 Se 0.8301 0.8301 0.0606
# Final energy ... -0.1884 Ha/atom
# Magnetization ... 0.0 μB/cell
# Energy above the most stable polymorph in this dataset ... 60 meV per atom
# Density ... 4.90 Mg/m³
# Formation energy from raw total energies ... -1.36 eV per atom

Look up the magnetization of the twelfth one. 0.0 μB/cell